# Pr4Sm6Y

An optimized crystal structure of Pr4Sm6Y (PBE, Alexandria).

```
11
Lattice="-3.398 3.398 8.528 3.398 -3.398 8.528 3.398 3.398 -8.528" Properties=species:S:1:pos:R:3 pbc="T T T"
Pr 2.107 2.107 -3.029
Pr 1.291 -1.291 11.556
Pr 1.291 1.291 5.499
Pr -1.291 1.291 11.556
Sm 3.398 0.000 0.000
Sm 2.212 -2.212 6.465
Sm 1.186 1.186 2.063
Sm 0.000 3.398 0.000
Sm -2.212 2.212 6.465
Sm 2.212 2.212 10.591
Y 0.000 0.000 8.528
```

Properties
M_tot	0.0	μB/f.u.
calculated volume	35.8	Å³ per atom
distance to the lowest polymorph of the same formula	0	meV/atom

=====

# PuNiPt6

An optimized crystal structure of PuNiPt6 (PBE, Alexandria).

```
8
Lattice="4.168 -2.657 0.000 4.168 2.657 0.000 -2.657 0.000 6.710" Properties=species:S:1:pos:R:3 pbc="T T T"
Pu 0.000 0.000 0.000
Ni 2.839 0.000 3.355
Pt 2.072 1.349 1.373
Pt 0.185 0.000 3.058
Pt 3.607 1.349 5.337
Pt 2.072 -1.349 1.373
Pt 5.493 0.000 3.652
Pt 3.607 -1.349 5.337
```

Properties
M_tot	3.3	μB/f.u.
calculated volume	18.6	Å³ per atom
total energy	-57.1	eV per formula unit

=====

# Dy3Y2N4

An optimized crystal structure of Dy3Y2N4 (PBE, Alexandria).

```
9
Lattice="5.804 -1.746 0.000 5.804 1.746 0.000 -4.289 0.000 7.446" Properties=species:S:1:pos:R:3 pbc="T T T"
Dy 0.000 0.000 0.000
Dy -1.105 0.000 6.031
Dy 8.423 0.000 1.415
Y 1.950 0.000 4.548
Y 5.368 0.000 2.898
N 1.021 0.000 2.256
N 4.197 0.000 0.728
N 3.121 0.000 6.718
N 6.297 0.000 5.190
```

Properties
M_tot	0.0	μB/f.u.
calculated volume	16.8	Å³ per atom
total energy	-73.7	eV per formula unit

=====

# CeSm3Er2Tm6

An optimized crystal structure of CeSm3Er2Tm6 (PBE, Alexandria).

```
12
Lattice="3.060 -5.298 0.000 3.060 5.298 0.000 -2.038 0.000 11.472" Properties=species:S:1:pos:R:3 pbc="T T T"
Ce 0.000 0.000 0.000
Sm 2.042 3.522 5.736
Sm 2.042 0.000 5.736
Sm 2.042 -3.522 5.736
Er 3.060 1.767 0.000
Er 3.060 -1.767 0.000
Tm 1.019 1.755 2.838
Tm -0.014 0.000 8.632
Tm 1.019 -1.755 2.838
Tm 3.064 1.755 8.634
Tm 4.097 0.000 2.840
Tm 3.064 -1.755 8.634
```

Properties
M_tot	1.1	μB/f.u.
calculated volume	31.0	Å³ per atom
total energy	-55.6	eV per formula unit

=====

# La6SbP2S3

An optimized crystal structure of La6SbP2S3 (PBE, Alexandria).

```
12
Lattice="9.317 -2.143 0.000 9.317 2.143 0.000 -1.899 0.000 8.351" Properties=species:S:1:pos:R:3 pbc="T T T"
La -0.461 0.000 2.234
La 4.374 0.000 7.568
La 5.375 0.000 3.512
La 11.359 0.000 4.839
La 12.360 0.000 0.783
La 17.195 0.000 6.117
Sb 9.317 0.000 0.000
P 2.493 0.000 2.797
P 14.241 0.000 5.554
S 1.494 0.000 6.952
S 8.367 0.000 4.175
S 15.240 0.000 1.399
```

Properties
M_tot	0.0	μB/f.u.
calculated volume	27.8	Å³ per atom
total energy	-78.8	eV per formula unit

=====

# TaPbW

An optimized crystal structure of TaPbW (PBE, Alexandria).

```
3
Lattice="0.000 3.251 3.251 3.251 0.000 3.251 3.251 3.251 0.000" Properties=species:S:1:pos:R:3 pbc="T T T"
Ta 0.000 0.000 0.000
Pb 3.251 3.251 3.251
W 4.877 4.877 4.877
```

Properties
M_tot	0.0	μB/f.u.
calculated volume	22.9	Å³ per atom
distance to the lowest polymorph of the same formula	492	meV/atom

=====

# Sr2IrBr

An optimized crystal structure of Sr2IrBr (PBE, Alexandria).

```
4
Lattice="-1.932 1.978 8.048 1.932 -1.978 8.048 1.932 1.978 -8.048" Properties=species:S:1:pos:R:3 pbc="T T T"
Sr 0.000 0.000 0.000
Sr 0.000 1.978 4.620
Ir 0.000 0.000 6.735
Br 1.932 0.000 2.795
```

Properties
M_tot	0.0	μB/f.u.
calculated volume	30.8	Å³ per atom
distance to the lowest polymorph of the same formula	105	meV/atom

=====

# KPa4S8

An optimized crystal structure of KPa4S8 (PBE, Alexandria).

```
13
Lattice="6.971 -4.035 0.000 6.971 4.035 0.000 -6.881 0.000 7.951" Properties=species:S:1:pos:R:3 pbc="T T T"
K 0.000 0.000 0.000
Pa 3.531 2.014 3.976
Pa 0.046 0.000 4.123
Pa 7.015 0.000 3.828
Pa 3.531 -2.014 3.976
S -2.215 0.000 2.566
S 9.277 0.000 5.385
S 1.193 1.921 2.520
S 1.193 -1.921 2.520
S 4.644 0.000 2.501
S 2.418 0.000 5.450
S 5.869 1.921 5.431
S 5.869 -1.921 5.431
```

Properties
M_tot	5.0	μB/f.u.
calculated volume	34.4	Å³ per atom
distance to the lowest polymorph of the same formula	0	meV/atom

=====

# Sr2TcRh

An optimized crystal structure of Sr2TcRh (PBE, Alexandria).

```
4
Lattice="2.344 -2.623 0.000 2.344 2.623 0.000 0.000 0.000 9.097" Properties=species:S:1:pos:R:3 pbc="T T T"
Sr 0.000 0.000 0.000
Sr 2.344 0.000 3.750
Tc 0.000 0.000 6.052
Rh 2.344 0.000 6.878
```

Properties
M_tot	0.0	μB/f.u.
calculated volume	28.0	Å³ per atom
distance to the lowest polymorph of the same formula	116	meV/atom

=====

Q: Among the records above, which one has the highest M_tot?
A: KPa4S8

=====

Please write out number 6 again, unchanged.
# TaPbW

An optimized crystal structure of TaPbW (PBE, Alexandria).

```
3
Lattice="0.000 3.251 3.251 3.251 0.000 3.251 3.251 3.251 0.000" Properties=species:S:1:pos:R:3 pbc="T T T"
Ta 0.000 0.000 0.000
Pb 3.251 3.251 3.251
W 4.877 4.877 4.877
```

Properties
M_tot	0.0	μB/f.u.
calculated volume	22.9	Å³ per atom
distance to the lowest polymorph of the same formula	492	meV/atom

=====

Q: Among the records above, which one has the highest M_tot?
A: KPa4S8